PrGa4Ir2 | GGA-PBE | relaxed

Lattice parameters (Å, degrees): 4.3740 6.6354 17.3924 90.00 90.00 90.00
Last column: nearest neighbours and their distance in Å.
Fractional coordinates of all 28 atoms:
Ga1 0.7500 0.8420 0.4658  3 Ir 2.58-2.67, 2 Ga 2.83-2.85
Ga2 0.2500 0.3420 0.0342  3 Ir 2.58-2.67, 2 Ga 2.83-2.85
Ga3 0.2500 0.4894 0.4318  4 Ir 2.53-2.78, 1 Ga 2.83
Ga4 0.2500 0.2922 0.6896  3 Ir 2.60, 2 Ga 2.69-2.85
Ga5 0.2500 0.0106 0.9318  4 Ir 2.53-2.78, 1 Ga 2.83
Ga6 0.2500 0.2078 0.1896  3 Ir 2.60, 2 Ga 2.69-2.85
Ga7 0.2500 0.8028 0.1870  4 Ir 2.61-2.64, 1 Ga 2.69
Ga8 0.7500 0.3028 0.3130  4 Ir 2.61-2.64, 1 Ga 2.69
Ga9 0.7500 0.6580 0.9658  3 Ir 2.58-2.67, 2 Ga 2.83-2.85
Ga10 0.2500 0.1580 0.5342  3 Ir 2.58-2.67, 2 Ga 2.83-2.85
Ga11 0.7500 0.5106 0.5682  4 Ir 2.53-2.78, 1 Ga 2.83
Ga12 0.7500 0.9894 0.0682  4 Ir 2.53-2.78, 1 Ga 2.83
Ga13 0.7500 0.7078 0.3104  3 Ir 2.60, 2 Ga 2.69-2.85
Ga14 0.7500 0.7922 0.8104  3 Ir 2.60, 2 Ga 2.69-2.85
Ga15 0.7500 0.1972 0.8130  4 Ir 2.61-2.64, 1 Ga 2.69
Ga16 0.2500 0.6972 0.6870  4 Ir 2.61-2.64, 1 Ga 2.69
Ir1 0.7500 0.4946 0.7135  7 Ga 2.53-2.62
Ir2 0.2500 0.7553 0.5371  7 Ga 2.54-2.78
Ir3 0.2500 0.5054 0.2865  7 Ga 2.53-2.62
Ir4 0.7500 0.2553 0.9629  7 Ga 2.54-2.78
Ir5 0.2500 0.9946 0.7865  7 Ga 2.53-2.62
Ir6 0.7500 0.2447 0.4629  7 Ga 2.54-2.78
Ir7 0.7500 0.0054 0.2135  7 Ga 2.53-2.62
Ir8 0.2500 0.7447 0.0371  7 Ga 2.54-2.78
Pr1 0.2500 0.0005 0.3601  9 Ga 3.04-3.28, 4 Ir 3.26-3.36
Pr2 0.7500 0.9995 0.6399  9 Ga 3.04-3.28, 4 Ir 3.26-3.36
Pr3 0.7500 0.5005 0.1399  9 Ga 3.04-3.28, 4 Ir 3.26-3.36
Pr4 0.2500 0.4995 0.8601  9 Ga 3.04-3.28, 4 Ir 3.26-3.36

Output
As for the space-group type: No. 62. The calculation puts the density of states at the Fermi level at 3.62 states/eV/f.u. The total energy is -38.92 eV/f.u.